1.
Below is a geometry-optimized La2NdPt structure, with properties calculated at the PBE-GGA level.

Cell and atoms, written as POSCAR:
```
La2NdPt
1.0
2.035 1.175 9.497
-2.035 1.175 9.497
0.000 -2.350 9.497
La Nd Pt
2 1 1
Cartesian
0.000 0.000 0.000
0.000 0.000 5.986
0.000 0.000 12.494
0.000 0.000 17.230
```

Properties
- calculated volume (Å³/atom) = 34.1
- energy of formation (eV/atom) = -0.513
- space-group type = R3m
- crystal system = trigonal
- offset from the most stable computed form (kJ/mol of formula units) = 47
- E (eV/f.u.) = -22.72
- total magnetization (Bohr magnetons per cell) = 0.001

2.
Below is a geometry-optimized LaNd5Pt2 structure, with properties calculated at the PBE-GGA level.

Cell and atoms, written as POSCAR:
```
LaNd5Pt2
1.0
1.960 -6.861 0.000
1.960 6.861 0.000
0.000 0.000 18.987
La Nd Pt
2 10 4
Cartesian
1.960 3.946 14.240
1.960 -3.946 4.747
1.960 6.060 4.747
1.960 4.528 10.589
1.960 4.528 17.891
1.960 0.790 11.187
1.960 0.790 17.293
1.960 -0.790 1.694
1.960 -0.790 7.799
1.960 -4.528 1.096
1.960 -4.528 8.398
1.960 -6.060 14.240
1.960 4.017 2.567
1.960 4.017 6.927
1.960 -4.017 12.060
1.960 -4.017 16.420
```

Properties
- calculated volume (Å³/atom) = 31.9
- energy of formation (eV/atom) = -0.528
- space-group type = Cmcm
- crystal system = orthorhombic
- E (eV/f.u.) = -45.07
- total magnetization (Bohr magnetons per cell) = 0.000

3.
Below is a geometry-optimized La2Nd3Pt4 structure, with properties calculated at the PBE-GGA level.

Cell and atoms, written as POSCAR:
```
La2Nd3Pt4
1.0
7.801 0.000 0.000
0.000 7.838 0.000
-2.555 0.000 7.743
La Nd Pt
4 6 8
Cartesian
1.340 1.410 0.744
0.063 2.509 4.615
5.183 5.330 3.127
3.906 6.428 6.999
1.245 5.222 1.943
-0.032 6.536 5.814
2.623 0.000 3.871
3.900 3.919 0.000
5.278 1.303 1.928
4.001 2.617 5.800
-1.485 4.158 6.746
-0.207 7.600 2.874
1.628 1.028 6.768
2.906 2.891 2.897
2.340 4.947 4.845
3.618 6.811 0.974
5.453 0.238 4.868
6.731 3.681 0.997
```

Properties
- calculated volume (Å³/atom) = 26.3
- energy of formation (eV/atom) = -1.051
- space-group type = P2_1/c
- crystal system = monoclinic
- E (eV/f.u.) = -57.78
- total magnetization (Bohr magnetons per cell) = 0.000